# Tb3Dy2Ho6Tl

Crystalline Tb3Dy2Ho6Tl at its relaxed geometry (PBE, Alexandria via LeMat-Bulk).

Results
crystal system = monoclinic
SG = C2/m
DFT total energy = -4.426 eV per atom
density of states at the Fermi level = 16.2 states/eV/f.u.
energy relative to the elements = -1 kJ per mole of atoms

a = 6.080 Å, b = 6.080 Å, c = 11.614 Å
α = 95.05°, β = 95.05°, γ = 120.04°
Atoms (fractional coordinates):
Ho  0.589  0.919  0.753
Ho  0.081  0.411  0.247
Ho  0.248  0.248  0.751
Ho  0.411  0.081  0.247
Ho  0.919  0.589  0.753
Ho  0.752  0.752  0.249
Tb  0.167  0.833  0.500
Tb  0.500  0.500  0.500
Tb  0.833  0.167  0.500
Tl  0.000  0.000  0.000
Dy  0.666  0.334  0.000
Dy  0.334  0.666  0.000



# Tb6Dy2Ho3Tl

Crystalline Tb6Dy2Ho3Tl at its relaxed geometry (PBE, Alexandria via LeMat-Bulk).

Results
crystal system = monoclinic
SG = C2/m
DFT total energy = -4.440 eV per atom
density of states at the Fermi level = 14.6 states/eV/f.u.
energy relative to the elements = -2 kJ per mole of atoms

a = 6.099 Å, b = 6.099 Å, c = 11.641 Å
α = 95.05°, β = 95.05°, γ = 120.07°
Atoms (fractional coordinates):
Tb  0.918  0.589  0.752
Tb  0.753  0.753  0.250
Tb  0.589  0.918  0.752
Tb  0.411  0.082  0.248
Tb  0.082  0.411  0.248
Tb  0.247  0.247  0.750
Ho  0.167  0.833  0.500
Ho  0.833  0.167  0.500
Ho  0.500  0.500  0.500
Tl  0.000  0.000  0.000
Dy  0.666  0.334  0.000
Dy  0.334  0.666  0.000



# TbDyHo2Tl2

Crystalline TbDyHo2Tl2 at its relaxed geometry (PBE, Alexandria via LeMat-Bulk).

Results
crystal system = orthorhombic
SG = Pmc2_1
DFT total energy = -4.121 eV per atom
density of states at the Fermi level = 6.0 states/eV/f.u.
energy relative to the elements = -26 kJ per mole of atoms

a = 5.091 Å, b = 6.801 Å, c = 9.965 Å
α = 90.00°, β = 90.00°, γ = 90.00°
Atoms (fractional coordinates):
Tl  0.500  0.217  0.365
Tl  0.000  0.798  0.133
Tl  0.500  0.717  0.635
Tl  0.000  0.298  0.867
Ho  0.000  0.834  0.814
Ho  0.000  0.334  0.186
Ho  0.500  0.052  0.042
Ho  0.500  0.552  0.958
Tb  0.000  0.962  0.459
Tb  0.000  0.462  0.541
Dy  0.500  0.682  0.312
Dy  0.500  0.182  0.688